# 1
This record from Alexandria describes crystalline GaAgSbOsPt at its relaxed geometry. The functional is PBE.

Properties
* formation energy without anion corrections: 175.7 meV per atom
* relative energy among the computed polymorphs: 0.242 eV per atom

Cell lengths 9.2813, 3.3251, 7.1147 Å; angles 90.00, 124.93, 90.00 degrees
Last column: nearest neighbours and their distance in Å.
Space group Cm (No. 8)
Unique sites:
1 Ga 0.0000 0.0000 0.0000 x2  2 Pt 2.56, 3 Os 2.59-2.66
2 Ag 0.1713 0.5000 0.5325 x2  3 Pt 2.78-2.83, 3 Sb 2.87-2.89, 1 Ga 2.96
3 Sb 0.3613 0.5000 0.3262 x2  2 Os 2.66, 2 Pt 2.82, 3 Ag 2.87-2.89
4 Os 0.2811 0.0000 0.9883 x2  3 Ga 2.59-2.66, 2 Sb 2.66
5 Pt 0.4681 0.0000 0.7055 x2  2 Ga 2.56, 3 Ag 2.78-2.83, 2 Sb 2.82

---

# 2
This record from Alexandria describes crystalline ZrMoCl at its relaxed geometry. The functional is PBE.

Properties
* formation energy without anion corrections: 744.1 meV per atom
* relative energy among the computed polymorphs: 0.775 eV per atom

Cell lengths 6.0741, 6.0741, 6.0741 Å; angles 90.00, 90.00, 90.00 degrees
Last column: nearest neighbours and their distance in Å.
Space group F-43m (No. 216)
Unique sites:
1 Zr 0.0000 0.0000 0.0000 x4  4 Cl 2.63
2 Mo 0.0000 0.0000 0.5000 x4  4 Cl 2.63
3 Cl 0.2500 0.2500 0.7500 x4  4 Mo 2.63, 4 Zr 2.63

---

Q: Among the records above, which one has the lowest formation energy without anion corrections?
A: GaAgSbOsPt

---

Q: The lowest formation energy without anion corrections belongs to which entry?
A: GaAgSbOsPt

---

Q: Which formula does entry 1 have?
A: GaAgSbOsPt